1.
## ScZn2Fe (PBE)

Data for a relaxed structure of ScZn2Fe.

```
ScZn2Fe
1.0
4.960 -0.004 0.006
4.064 2.844 0.006
1.611 0.507 4.405
Sc Fe Zn
1 1 2
direct
0.238 0.238 0.295
0.487 0.487 0.469
0.014 0.014 0.954
0.762 0.762 0.782
```

Properties
energy of formation from the pure elements: -0.03 eV/atom
Fermi-level density of states: 2.9 states/eV/f.u.
calculated volume: 62 Å³/f.u.
space group: Cm (8)

---

2.
## Cr2InRh (PBE)

Data for a relaxed structure of Cr2InRh.

```
Cr2InRh
1.0
3.129 0.000 0.000
0.000 3.129 0.000
0.000 0.000 6.180
Cr In Rh
2 1 1
direct
0.000 0.000 0.026
0.500 0.500 0.209
0.000 0.000 0.502
0.500 0.500 0.763
```

Properties
energy of formation from the pure elements: 0.06 eV/atom
Fermi-level density of states: 2.7 states/eV/f.u.
calculated volume: 61 Å³/f.u.
space group: P4mm (99)

---

3.
## SmY6Ho2Th (PBE)

Data for a relaxed structure of SmY6Ho2Th.

```
SmY6Ho2Th
1.0
-6.485 -5.900 -3.471
5.061 -6.574 3.015
-5.640 3.560 5.783
Y Ho Th Sm
12 4 2 2
direct
0.941 0.885 0.235
0.317 0.987 0.430
0.183 0.570 0.013
0.111 0.708 0.481
0.611 0.481 0.708
0.889 0.292 0.519
0.559 0.765 0.115
0.441 0.235 0.885
0.683 0.013 0.570
0.817 0.430 0.987
0.389 0.519 0.292
0.059 0.115 0.765
0.945 0.702 0.802
0.055 0.298 0.198
0.445 0.802 0.702
0.555 0.198 0.298
0.250 0.966 0.034
0.750 0.034 0.966
0.750 0.589 0.411
0.250 0.411 0.589
```

Properties
energy of formation from the pure elements: 0.15 eV/atom
Fermi-level density of states: 15.3 states/eV/f.u.
calculated volume: 328 Å³/f.u.
space group: C2/c (15)

---

4.
## BaYTa2 (PBE)

Data for a relaxed structure of BaYTa2.

```
BaYTa2
1.0
-2.116 -1.281 -3.368
-0.667 -4.071 1.967
-4.434 1.751 2.120
Ta Ba Y
2 1 1
direct
0.000 0.000 0.000
0.500 0.500 0.000
0.000 0.500 0.500
0.500 0.000 0.500
```

Properties
energy of formation from the pure elements: 1.05 eV/atom
E above lowest polymorph: 615.4 meV per atom
Fermi-level density of states: 4.0 states/eV/f.u.
calculated volume: 100 Å³/f.u.
space group: Pmmm (47)